[1]
The following is a DFT calculation (PBEsol) of TePbO2 after structural relaxation.

Summary:
As for the space-group type: I-42d. As for the relative energy among the computed polymorphs: 0.100 eV/atom. The uncorrected formation energy comes out at -0.4402 eV per atom.

Unit cell a=7.613 b=7.613 c=7.613 alpha=144.16 beta=144.16 gamma=51.58
Sites, in units of the cell vectors:
1 Te 0.000 0.000 0.000
2 Te 0.750 0.250 0.500
3 Pb 0.250 0.750 0.500
4 Pb 0.500 0.500 0.000
5 O 0.072 0.625 0.947
6 O 0.375 0.322 0.447
7 O 0.678 0.125 0.053
8 O 0.875 0.928 0.553


[2]
The following is a DFT calculation (PBEsol) of TePb5O8 after structural relaxation.

Summary:
As for the space-group type: P2_1/c. The uncorrected formation energy comes out at -1.1406 eV per atom.

Unit cell a=7.451 b=11.999 c=12.959 alpha=90.00 beta=124.40 gamma=90.00
Sites, in units of the cell vectors:
1 Te 0.079 0.116 0.219
2 Te 0.079 0.384 0.719
3 Te 0.921 0.616 0.281
4 Te 0.921 0.884 0.781
5 Pb 0.183 0.121 0.550
6 Pb 0.183 0.379 0.050
7 Pb 0.220 0.607 0.601
8 Pb 0.220 0.893 0.101
9 Pb 0.263 0.119 0.875
10 Pb 0.263 0.381 0.375
11 Pb 0.295 0.658 0.926
12 Pb 0.295 0.842 0.426
13 Pb 0.402 0.632 0.244
14 Pb 0.402 0.868 0.744
15 Pb 0.598 0.132 0.256
16 Pb 0.598 0.368 0.756
17 Pb 0.705 0.158 0.574
18 Pb 0.705 0.342 0.074
19 Pb 0.737 0.619 0.625
20 Pb 0.737 0.881 0.125
21 Pb 0.780 0.107 0.899
22 Pb 0.780 0.393 0.399
23 Pb 0.817 0.621 0.950
24 Pb 0.817 0.879 0.450
25 O 0.013 0.656 0.175
26 O 0.013 0.844 0.675
27 O 0.061 0.227 0.672
28 O 0.061 0.273 0.172
29 O 0.085 0.545 0.750
30 O 0.085 0.955 0.250
31 O 0.157 0.079 0.099
32 O 0.157 0.421 0.599
33 O 0.173 0.577 0.031
34 O 0.173 0.923 0.531
35 O 0.227 0.591 0.422
36 O 0.227 0.909 0.922
37 O 0.383 0.129 0.348
38 O 0.383 0.371 0.848
39 O 0.412 0.049 0.780
40 O 0.412 0.451 0.280
41 O 0.588 0.549 0.720
42 O 0.588 0.951 0.220
43 O 0.617 0.629 0.152
44 O 0.617 0.871 0.652
45 O 0.773 0.091 0.078
46 O 0.773 0.409 0.578
47 O 0.827 0.077 0.469
48 O 0.827 0.423 0.969
49 O 0.843 0.579 0.401
50 O 0.843 0.921 0.901
51 O 0.915 0.045 0.750
52 O 0.915 0.455 0.250
53 O 0.939 0.727 0.828
54 O 0.939 0.773 0.328
55 O 0.987 0.156 0.325
56 O 0.987 0.344 0.825


[3]
The following is a DFT calculation (PBEsol) of Te3PbO after structural relaxation.

Summary:
As for the space-group type: Pm-3m. The uncorrected formation energy comes out at 1.2250 eV per atom.

Unit cell a=5.786 b=5.786 c=5.786 alpha=90.00 beta=90.00 gamma=90.00
Sites, in units of the cell vectors:
1 Te 0.000 0.000 0.500
2 Te 0.000 0.500 0.000
3 Te 0.500 0.000 0.000
4 Pb 0.000 0.000 0.000
5 O 0.500 0.500 0.500


[4]
The following is a DFT calculation (PBEsol) of TePbO2 after structural relaxation.

Summary:
As for the space-group type: R-3m. As for the relative energy among the computed polymorphs: 0.000 eV/atom. The uncorrected formation energy comes out at -0.5397 eV per atom.

Unit cell a=7.292 b=7.292 c=7.292 alpha=28.13 beta=28.13 gamma=28.13
Sites, in units of the cell vectors:
1 Te 0.000 0.000 0.000
2 Pb 0.500 0.500 0.500
3 O 0.380 0.380 0.380
4 O 0.620 0.620 0.620


> Which formula does entry 3 have?

Te3PbO